<A>
Material: PmNiTe
Method: DFT, PBE
State: relaxed

Lattice parameters (Å, degrees): 4.2862 4.2862 4.2033 90.00 90.00 120.00
Space group P3m1 (No. 156)
Unique sites:
Pm (0.0000, 0.0000, 0.0000) x1
Ni (0.3333, 0.6667, 0.5072) x1
Te (0.6667, 0.3333, 0.4995) x1

Results
DOS at the Fermi energy   0.631 states/eV per atom


<B>
Material: PmNiTe
Method: DFT, PBE
State: relaxed

Lattice parameters (Å, degrees): 6.496 6.496 6.496 90.00 90.00 90.00
Space group F-43m (No. 216)
Unique sites:
Pm (0.000, 0.000, 0.000) x4
Ni (0.250, 0.250, 0.750) x4
Te (0.000, 0.000, 0.500) x4

Results
DOS at the Fermi energy   0.606 states/eV per atom


<A> wins, 163 meV/atom ahead of the next structure.


<A>
Material: PmThNi
Method: DFT, PBE
State: relaxed

Lattice parameters (Å, degrees): 3.586 3.586 11.786 90.00 90.00 90.00
Space group I4mm (No. 107)
Unique sites:
Pm (0.000, 0.000, 0.000) x2
Th (0.000, 0.000, 0.715) x2
Ni (0.000, 0.000, 0.327) x2

Results
DOS at the Fermi energy   1.618 states/eV per atom


<B>
Material: PmThNi
Method: DFT, PBE
State: relaxed

Lattice parameters (Å, degrees): 6.869 6.869 6.869 90.00 90.00 90.00
Space group F-43m (No. 216)
Unique sites:
Pm (0.000, 0.000, 0.000) x4
Th (0.000, 0.000, 0.500) x4
Ni (0.250, 0.250, 0.250) x4

Results
DOS at the Fermi energy   2.074 states/eV per atom


<C>
Material: PmThNi
Method: DFT, PBE
State: relaxed

Lattice parameters (Å, degrees): 14.005 3.877 5.876 90.00 98.05 90.00
Space group C2/m (No. 12)
Unique sites:
Pm (0.077, 0.000, 0.273) x4
Th (0.160, 0.500, 0.807) x4
Ni (0.232, 0.500, 0.358) x4

Results
DOS at the Fermi energy   1.223 states/eV per atom


<C> wins, 77 meV/atom ahead of the next structure.


<A>
Material: PmThNi4
Method: DFT, PBE
State: relaxed

Lattice parameters (Å, degrees): 7.297 7.297 7.297 90.00 90.00 90.00
Space group F-43m (No. 216)
Unique sites:
Pm (0.000, 0.000, 0.000) x4
Th (0.250, 0.250, 0.750) x4
Ni (0.125, 0.125, 0.375) x16

Results
DOS at the Fermi energy   0.518 states/eV per atom


<B>
Material: PmThNi4
Method: DFT, PBE
State: relaxed

Lattice parameters (Å, degrees): 4.067 7.064 7.661 90.00 90.00 90.00
Space group Immm (No. 71)
Unique sites:
Pm (0.000, 0.000, 0.000) x2
Th (0.000, 0.000, 0.500) x2
Ni (0.000, 0.334, 0.246) x8

Results
DOS at the Fermi energy   1.331 states/eV per atom


<B> wins, 38 meV/atom ahead of the next structure.


<A>
Material: PmTiNi2
Method: DFT, PBE
State: relaxed

Lattice parameters (Å, degrees): 3.119 3.119 6.941 90.00 90.00 90.00
Space group P4/mmm (No. 123)
Unique sites:
Pm (0.000, 0.000, 0.000) x1
Ti (0.000, 0.000, 0.500) x1
Ni (0.500, 0.500, 0.312) x2

Results
DOS at the Fermi energy   0.846 states/eV per atom


<B>
Material: PmTiNi2
Method: DFT, PBE
State: relaxed

Lattice parameters (Å, degrees): 4.634 4.634 3.167 90.00 90.00 90.00
Space group P4/mmm (No. 123)
Unique sites:
Pm (0.000, 0.000, 0.000) x1
Ti (0.500, 0.500, 0.000) x1
Ni (0.000, 0.500, 0.500) x2

Results
DOS at the Fermi energy   1.219 states/eV per atom


<A> wins, 180 meV/atom ahead of the next structure.


<A>
Material: PmTiNi
Method: DFT, PBE
State: relaxed

Lattice parameters (Å, degrees): 3.283 3.283 10.955 90.00 90.00 90.00
Space group P4/mmm (No. 123)
Unique sites:
Pm (0.000, 0.000, 0.165) x2
Ti (0.500, 0.500, 0.380) x2
Ni (0.000, 0.000, 0.500) x1
Ni (0.500, 0.500, 0.000) x1

Results
DOS at the Fermi energy   1.386 states/eV per atom


<B>
Material: PmTiNi
Method: DFT, PBE
State: relaxed

Lattice parameters (Å, degrees): 3.249 3.249 11.372 90.00 90.00 90.00
Space group I4mm (No. 107)
Unique sites:
Pm (0.000, 0.000, 0.000) x2
Ti (0.000, 0.000, 0.720) x2
Ni (0.000, 0.000, 0.301) x2

Results
DOS at the Fermi energy   1.257 states/eV per atom


<B> wins, 86 meV/atom ahead of the next structure.


<A>
Material: PmTlNi
Method: DFT, PBE
State: relaxed

Lattice parameters (Å, degrees): 11.111 3.977 7.593 90.00 125.39 90.00
Space group C2/m (No. 12)
Unique sites:
Pm (0.066, 0.000, 0.337) x4
Tl (0.180, 0.500, 0.091) x4
Ni (0.128, 0.500, 0.657) x4

Results
DOS at the Fermi energy   0.561 states/eV per atom


<B>
Material: PmTlNi
Method: DFT, PBE
State: relaxed

Lattice parameters (Å, degrees): 4.6560 4.6560 25.2695 90.00 90.00 120.00
Space group R-3m (No. 166, hexagonal axes)
Unique sites:
Pm (0.0000, 0.0000, 0.0929) x6
Tl (0.0000, 0.0000, 0.3105) x6
Ni (0.0000, 0.0000, 0.1985) x6

Results
DOS at the Fermi energy   0.655 states/eV per atom


<C>
Material: PmTlNi
Method: DFT, PBE
State: relaxed

Lattice parameters (Å, degrees): 3.421 3.421 11.440 90.00 90.00 90.00
Space group I4mm (No. 107)
Unique sites:
Pm (0.000, 0.000, 0.000) x2
Tl (0.000, 0.000, 0.714) x2
Ni (0.000, 0.000, 0.351) x2

Results
DOS at the Fermi energy   0.912 states/eV per atom


<D>
Material: PmTlNi
Method: DFT, PBE
State: relaxed

Lattice parameters (Å, degrees): 3.777 17.249 4.268 90.00 90.00 90.00
Space group Cmcm (No. 63)
Unique sites:
Pm (0.000, 0.088, 0.250) x4
Tl (0.000, 0.297, 0.250) x4
Ni (0.000, 0.460, 0.250) x4

Results
DOS at the Fermi energy   0.754 states/eV per atom


<D> wins, 24 meV/atom ahead of the next structure.


<A>
Material: PmTlNi
Method: DFT, PBE
State: relaxed

Lattice parameters (Å, degrees): 4.6094 4.6094 3.7435 90.00 90.00 120.00
Space group P-6m2 (No. 187)
Unique sites:
Pm (0.0000, 0.0000, 0.0000) x1
Tl (0.6667, 0.3333, 0.5000) x1
Ni (0.3333, 0.6667, 0.5000) x1

Results
DOS at the Fermi energy   0.688 states/eV per atom


<B>
Material: PmTlNi
Method: DFT, PBE
State: relaxed

Lattice parameters (Å, degrees): 6.617 6.617 6.617 90.00 90.00 90.00
Space group F-43m (No. 216)
Unique sites:
Pm (0.000, 0.000, 0.000) x4
Tl (0.000, 0.000, 0.500) x4
Ni (0.250, 0.250, 0.750) x4

Results
DOS at the Fermi energy   1.570 states/eV per atom


<A> wins, 24 meV/atom ahead of the next structure.


<A>
Material: Pm8Tl2Ni
Method: DFT, PBE
State: relaxed

Lattice parameters (Å, degrees): 19.117 5.138 6.946 90.00 102.74 90.00
Space group C2/m (No. 12)
Unique sites:
Pm (0.014, 0.000, 0.279) x4
Pm (0.090, 0.500, 0.964) x4
Pm (0.144, 0.500, 0.489) x4
Pm (0.210, 0.000, 0.813) x4
Tl (0.184, 0.000, 0.257) x4
Ni (0.000, 0.500, 0.500) x2

Results
DOS at the Fermi energy   1.101 states/eV per atom


<B>
Material: Pm8Tl2Ni
Method: DFT, PBE
State: relaxed

Lattice parameters (Å, degrees): 9.049 16.349 5.842 90.00 129.67 90.00
Space group Cm (No. 8)
Unique sites:
Pm (0.000, 0.000, 0.000) x2
Pm (0.012, 0.500, 0.359) x2
Pm (0.110, 0.299, 0.571) x4
Pm (0.337, 0.114, 0.756) x4
Pm (0.339, 0.386, 0.335) x4
Tl (0.114, 0.198, 0.067) x4
Ni (0.116, 0.500, 0.900) x2

Results
DOS at the Fermi energy   1.032 states/eV per atom


<B> wins, 6 meV/atom ahead of the next structure.


<A>
Material: Pm4TlNi
Method: DFT, PBE
State: relaxed

Lattice parameters (Å, degrees): 13.965 13.965 13.965 90.00 90.00 90.00
Space group F-43m (No. 216)
Unique sites:
Pm (0.000, 0.000, 0.189) x24
Pm (0.061, 0.250, 0.250) x24
Pm (0.152, 0.152, 0.652) x16
Tl (0.084, 0.084, 0.416) x16
Ni (0.143, 0.143, 0.857) x16

Results
DOS at the Fermi energy   1.146 states/eV per atom


<B>
Material: Pm4TlNi
Method: DFT, PBE
State: relaxed

Lattice parameters (Å, degrees): 8.928 14.089 6.077 90.00 114.24 90.00
Space group C2/c (No. 15)
Unique sites:
Pm (0.117, 0.185, 0.077) x8
Pm (0.236, 0.429, 0.349) x8
Tl (0.000, 0.381, 0.750) x4
Ni (0.000, 0.001, 0.250) x4

Results
DOS at the Fermi energy   1.026 states/eV per atom


<A> wins, 58 meV/atom ahead of the next structure.


<A>
Material: Pm2TmNi2
Method: DFT, PBE
State: relaxed

Lattice parameters (Å, degrees): 7.608 7.608 3.927 90.00 90.00 90.00
Space group P4/mbm (No. 127)
Unique sites:
Pm (0.168, 0.332, 0.000) x4
Tm (0.000, 0.000, 0.500) x2
Ni (0.122, 0.622, 0.500) x4

Results
DOS at the Fermi energy   0.943 states/eV per atom


<B>
Material: Pm2TmNi2
Method: DFT, PBE
State: relaxed

Lattice parameters (Å, degrees): 5.446 4.349 10.252 90.00 94.87 90.00
Space group P2_1/m (No. 11)
Unique sites:
Pm (0.112, 0.250, 0.377) x2
Pm (0.247, 0.250, 0.036) x2
Tm (0.394, 0.250, 0.706) x2
Ni (0.256, 0.750, 0.855) x2
Ni (0.369, 0.750, 0.526) x2

Results
DOS at the Fermi energy   0.747 states/eV per atom


<A> wins, 6 meV/atom ahead of the next structure.


<A>
Material: PmTm2Ni
Method: DFT, PBE
State: relaxed

Lattice parameters (Å, degrees): 3.7913 3.7913 26.5263 90.00 90.00 120.00
Space group R3m (No. 160, hexagonal axes)
Unique sites:
Pm (0.0000, 0.0000, 0.0000) x3
Tm (0.0000, 0.0000, 0.2265) x3
Tm (0.0000, 0.0000, 0.4451) x3
Ni (0.0000, 0.0000, 0.8366) x3

Results
DOS at the Fermi energy   1.116 states/eV per atom


<B>
Material: PmTm2Ni
Method: DFT, PBE
State: relaxed

Lattice parameters (Å, degrees): 3.404 3.404 8.707 90.00 90.00 90.00
Space group P4/mmm (No. 123)
Unique sites:
Pm (0.000, 0.000, 0.000) x1
Tm (0.500, 0.500, 0.318) x2
Ni (0.000, 0.000, 0.500) x1

Results
DOS at the Fermi energy   0.851 states/eV per atom


<C>
Material: PmTm2Ni
Method: DFT, PBE
State: relaxed

Lattice parameters (Å, degrees): 3.6962 3.6962 27.8079 90.00 90.00 120.00
Space group R-3m (No. 166, hexagonal axes)
Unique sites:
Pm (0.0000, 0.0000, 0.0000) x3
Tm (0.0000, 0.0000, 0.2247) x6
Ni (0.0000, 0.0000, 0.5000) x3

Results
DOS at the Fermi energy   1.333 states/eV per atom


<B> wins, 75 meV/atom ahead of the next structure.